[1]
# Li3InPd3 GGA-PBE relaxed
# * relative energy among the computed polymorphs: 0.98 eV/f.u.
# * energy relative to the elements: -0.310 eV per atom
data_Li3InPd3
_chemical_formula_sum 'Li18 In6 Pd18'
_symmetry_space_group_name_H-M 'R -3'
_symmetry_Int_Tables_number 148
_symmetry_space_group_name_Hall '-R 3'
_cell_length_a 6.6518
_cell_length_b 6.6518
_cell_length_c 18.2697
_cell_angle_alpha 90.00
_cell_angle_beta 90.00
_cell_angle_gamma 120.00
loop_
_atom_site_label
_atom_site_fract_x
_atom_site_fract_y
_atom_site_fract_z
_atom_site_occupancy
Li1 0.0416 0.4333 0.3747 1
In1 0.0000 0.0000 0.1608 1
Pd1 0.0067 0.2459 0.5626 1

=====

[2]
# LiIn2Pd GGA-PBE relaxed
# * relative energy among the computed polymorphs: 0.00 eV/f.u.
# * energy relative to the elements: -0.450 eV per atom
data_LiIn2Pd
_chemical_formula_sum 'Li4 In8 Pd4'
_symmetry_space_group_name_H-M 'F m -3 m'
_symmetry_Int_Tables_number 225
_symmetry_space_group_name_Hall '-F 4 2 3'
_cell_length_a 6.6266
_cell_length_b 6.6266
_cell_length_c 6.6266
_cell_angle_alpha 90.00
_cell_angle_beta 90.00
_cell_angle_gamma 90.00
loop_
_atom_site_label
_atom_site_fract_x
_atom_site_fract_y
_atom_site_fract_z
_atom_site_occupancy
Li1 0.0000 0.0000 0.0000 1
In1 0.2500 0.2500 0.2500 1
Pd1 0.0000 0.0000 0.5000 1

=====

[3]
# Li8InPd5 GGA-PBE relaxed
# * energy relative to the elements: -0.269 eV per atom
data_Li8InPd5
_chemical_formula_sum 'Li16 In2 Pd10'
_symmetry_space_group_name_H-M 'I -4'
_symmetry_Int_Tables_number 82
_cell_length_a 7.3276
_cell_length_b 7.3276
_cell_length_c 7.8521
_cell_angle_alpha 90.00
_cell_angle_beta 90.00
_cell_angle_gamma 90.00
loop_
_symmetry_equiv_pos_as_xyz
'x,y,z'
'y,-x,-z'
'-x,-y,z'
'-y,x,-z'
'x+1/2,y+1/2,z+1/2'
'y+1/2,-x+1/2,-z+1/2'
'-x+1/2,-y+1/2,z+1/2'
'-y+1/2,x+1/2,-z+1/2'
loop_
_atom_site_label
_atom_site_fract_x
_atom_site_fract_y
_atom_site_fract_z
_atom_site_occupancy
Li1 0.0714 0.3294 0.0956 1
Li2 0.0950 0.1494 0.7319 1
In1 0.0000 0.5000 0.7500 1
Pd1 0.0000 0.0000 0.0000 1
Pd2 0.1418 0.2170 0.4220 1

=====

[4]
# Li5InPd4 GGA-PBE relaxed
# * energy relative to the elements: -0.450 eV per atom
data_Li5InPd4
_chemical_formula_sum 'Li10 In2 Pd8'
_symmetry_space_group_name_H-M 'C 1 2/m 1'
_symmetry_Int_Tables_number 12
_cell_length_a 13.0018
_cell_length_b 4.3889
_cell_length_c 5.3701
_cell_angle_alpha 90.00
_cell_angle_beta 105.35
_cell_angle_gamma 90.00
loop_
_symmetry_equiv_pos_as_xyz
'x,y,z'
'-x,-y,-z'
'-x,y,-z'
'x,-y,z'
'x+1/2,y+1/2,z'
'-x+1/2,-y+1/2,-z'
'-x+1/2,y+1/2,-z'
'x+1/2,-y+1/2,z'
loop_
_atom_site_label
_atom_site_fract_x
_atom_site_fract_y
_atom_site_fract_z
_atom_site_occupancy
Li1 0.0000 0.0000 0.0000 1
Li2 0.1045 0.5000 0.8803 1
Li3 0.2061 0.0000 0.3041 1
In1 0.0000 0.0000 0.5000 1
Pd1 0.1026 0.5000 0.3826 1
Pd2 0.2061 0.0000 0.8045 1

=====

[5]
# LiInPd2 GGA-PBE relaxed
# * energy relative to the elements: -0.270 eV per atom
data_LiInPd2
_chemical_formula_sum 'Li4 In4 Pd8'
_symmetry_space_group_name_H-M 'I -4 2 d'
_symmetry_Int_Tables_number 122
_symmetry_space_group_name_Hall 'I -4 2bw'
_cell_length_a 6.9593
_cell_length_b 6.9593
_cell_length_c 5.5990
_cell_angle_alpha 90.00
_cell_angle_beta 90.00
_cell_angle_gamma 90.00
loop_
_atom_site_label
_atom_site_fract_x
_atom_site_fract_y
_atom_site_fract_z
_atom_site_occupancy
Li1 0.0000 0.0000 0.0000 1
In1 0.0000 0.0000 0.5000 1
Pd1 0.2244 0.2500 0.1250 1

=====

[6]
# Li2In5Pd GGA-PBE relaxed
# * energy relative to the elements: -0.244 eV per atom
data_Li2In5Pd
_chemical_formula_sum 'Li8 In20 Pd4'
_symmetry_space_group_name_H-M 'C m c m'
_symmetry_Int_Tables_number 63
_symmetry_space_group_name_Hall '-C 2c 2'
_cell_length_a 3.9575
_cell_length_b 9.8744
_cell_length_c 17.7788
_cell_angle_alpha 90.00
_cell_angle_beta 90.00
_cell_angle_gamma 90.00
loop_
_atom_site_label
_atom_site_fract_x
_atom_site_fract_y
_atom_site_fract_z
_atom_site_occupancy
Li1 0.0000 0.2377 0.1641 1
In1 0.0000 0.0562 0.6054 1
In2 0.0000 0.3518 0.5360 1
In3 0.0000 0.4472 0.7500 1
Pd1 0.0000 0.1545 0.7500 1